# AlCoSe2 PBEsol optimized geometry
# Calculated volume in A^3/atom: 15.607
# Formation energy (no corrections) in eV/atom: 0.143
# VASP energy in eV per cell: -18.96
# Magnetic moment in μB per cell: 1.00
data_AlCoSe2
_cell_length_a 3.070
_cell_length_b 3.070
_cell_length_c 6.623
_cell_angle_alpha 90.00
_cell_angle_beta 90.00
_cell_angle_gamma 90.00
_symmetry_space_group_name_H-M 'P 4/m m m'
_symmetry_Int_Tables_number 123
_symmetry_space_group_name_Hall '-P 4 2'
loop_
_atom_site_label
_atom_site_type_symbol
_atom_site_fract_x
_atom_site_fract_y
_atom_site_fract_z
_atom_site_occupancy
Al1 Al 0.000 0.000 0.000 1
Co1 Co 0.000 0.000 0.500 1
Se1 Se 0.500 0.500 0.278 1